Record 1
DFT (PBE) results for a relaxed Cu4Ag5 crystal.

Cell lengths 5.870, 5.870, 8.828 Å; angles 104.48, 104.48, 27.85 degrees
Sites, in units of the cell vectors:
Cu: 0.000 0.000 0.000
Cu: 0.002 0.002 0.707
Cu: 0.327 0.327 0.082
Cu: 0.656 0.656 0.900
Ag: 0.326 0.326 0.789
Ag: 0.342 0.342 0.474
Ag: 0.641 0.641 0.559
Ag: 0.678 0.678 0.215
Ag: 0.983 0.983 0.302

Computed properties:
- Polymorph energy (0 for the lowest one): 38 meV/atom
- VASP energy: -3.145 eV per atom
- Formation energy: 0.69 eV per formula unit
- V: 15.26 A^3/atom

***

Record 2
DFT (PBE) results for a relaxed CuAg crystal.

Cell lengths 5.518, 7.811, 5.492 Å; angles 90.00, 90.00, 90.00 degrees
Sites, in units of the cell vectors:
Cu: 0.000 0.000 0.000
Cu: 0.000 0.500 0.000
Cu: 0.250 0.250 0.250
Cu: 0.250 0.750 0.750
Cu: 0.500 0.000 0.500
Cu: 0.500 0.500 0.500
Cu: 0.750 0.250 0.250
Cu: 0.750 0.750 0.750
Ag: 0.000 0.000 0.500
Ag: 0.000 0.500 0.500
Ag: 0.250 0.250 0.750
Ag: 0.250 0.750 0.250
Ag: 0.500 0.000 0.000
Ag: 0.500 0.500 0.000
Ag: 0.750 0.250 0.750
Ag: 0.750 0.750 0.250

Computed properties:
- VASP energy: -3.153 eV per atom
- Formation energy: 0.23 eV per formula unit
- V: 14.79 A^3/atom

***

Record 3
DFT (PBE) results for a relaxed Cu2Ag5 crystal.

Cell lengths 2.890, 2.890, 27.181 Å; angles 90.00, 90.00, 90.00 degrees
Sites, in units of the cell vectors:
Cu: 0.000 0.000 0.224
Cu: 0.000 0.000 0.776
Cu: 0.500 0.500 0.276
Cu: 0.500 0.500 0.724
Ag: 0.000 0.000 0.079
Ag: 0.000 0.000 0.343
Ag: 0.000 0.000 0.500
Ag: 0.000 0.000 0.657
Ag: 0.000 0.000 0.921
Ag: 0.500 0.500 0.000
Ag: 0.500 0.500 0.157
Ag: 0.500 0.500 0.421
Ag: 0.500 0.500 0.579
Ag: 0.500 0.500 0.843

Computed properties:
- Polymorph energy (0 for the lowest one): 0 meV/atom
- VASP energy: -3.044 eV per atom
- Formation energy: 0.25 eV per formula unit
- V: 16.22 A^3/atom

***

Record 4
DFT (PBE) results for a relaxed CuAg crystal.

Cell lengths 2.884, 3.296, 25.059 Å; angles 90.00, 90.00, 90.00 degrees
Sites, in units of the cell vectors:
Cu: 0.250 0.250 0.026
Cu: 0.250 0.250 0.129
Cu: 0.250 0.250 0.820
Cu: 0.250 0.250 0.922
Cu: 0.750 0.750 0.078
Cu: 0.750 0.750 0.180
Cu: 0.750 0.750 0.871
Cu: 0.750 0.750 0.974
Ag: 0.250 0.250 0.242
Ag: 0.250 0.250 0.390
Ag: 0.250 0.250 0.537
Ag: 0.250 0.250 0.683
Ag: 0.750 0.750 0.317
Ag: 0.750 0.750 0.463
Ag: 0.750 0.750 0.610
Ag: 0.750 0.750 0.758

Computed properties:
- VASP energy: -3.226 eV per atom
- Formation energy: 0.09 eV per formula unit
- V: 14.88 A^3/atom

***

Record 5
DFT (PBE) results for a relaxed Cu8Ag crystal.

Cell lengths 6.840, 6.840, 6.840 Å; angles 157.74, 110.22, 74.27 degrees
Sites, in units of the cell vectors:
Cu: 0.156 0.828 0.328
Cu: 0.160 0.500 0.660
Cu: 0.167 0.167 0.000
Cu: 0.500 0.172 0.328
Cu: 0.500 0.828 0.672
Cu: 0.833 0.833 0.000
Cu: 0.840 0.500 0.340
Cu: 0.844 0.172 0.672
Ag: 0.500 0.500 0.000

Computed properties:
- Polymorph energy (0 for the lowest one): 12 meV/atom
- VASP energy: -3.569 eV per atom
- Formation energy: 0.44 eV per formula unit
- V: 12.52 A^3/atom

***

Record 6
DFT (PBE) results for a relaxed Cu3Ag7 crystal.

Cell lengths 7.002, 2.882, 8.294 Å; angles 90.00, 103.37, 90.00 degrees
Sites, in units of the cell vectors:
Cu: 0.000 0.000 0.000
Cu: 0.080 0.500 0.269
Cu: 0.580 0.000 0.785
Ag: 0.177 0.000 0.570
Ag: 0.287 0.500 0.881
Ag: 0.379 0.000 0.190
Ag: 0.495 0.500 0.497
Ag: 0.697 0.500 0.067
Ag: 0.795 0.000 0.378
Ag: 0.882 0.500 0.710

Computed properties:
- Polymorph energy (0 for the lowest one): 38 meV/atom
- VASP energy: -3.025 eV per atom
- Formation energy: 0.67 eV per formula unit
- V: 16.28 A^3/atom

***

Record 7
DFT (PBE) results for a relaxed CuAg crystal.

Cell lengths 2.816, 3.615, 23.405 Å; angles 89.95, 89.84, 89.98 degrees
Sites, in units of the cell vectors:
Cu: 0.000 0.000 0.000
Cu: 0.007 0.002 0.106
Cu: 0.443 0.496 0.841
Cu: 0.483 0.499 0.947
Cu: 0.495 0.502 0.160
Cu: 0.508 0.501 0.053
Cu: 0.961 0.997 0.894
Cu: 0.978 0.001 0.212
Ag: 0.429 0.494 0.706
Ag: 0.430 0.495 0.563
Ag: 0.441 0.498 0.419
Ag: 0.462 0.500 0.275
Ag: 0.928 0.995 0.634
Ag: 0.933 0.995 0.779
Ag: 0.935 0.996 0.491
Ag: 0.950 0.999 0.347

Computed properties:
- VASP energy: -3.208 eV per atom
- Formation energy: 0.13 eV per formula unit
- V: 14.89 A^3/atom

***

Record 8
DFT (PBE) results for a relaxed Cu3Ag2 crystal.

Cell lengths 6.065, 6.065, 3.880 Å; angles 90.00, 90.00, 90.00 degrees
Sites, in units of the cell vectors:
Cu: 0.000 0.500 0.000
Cu: 0.102 0.179 0.500
Cu: 0.179 0.898 0.000
Cu: 0.500 0.000 0.500
Cu: 0.821 0.102 0.000
Cu: 0.898 0.821 0.500
Ag: 0.280 0.606 0.500
Ag: 0.394 0.280 0.000
Ag: 0.606 0.720 0.000
Ag: 0.720 0.394 0.500

Computed properties:
- Polymorph energy (0 for the lowest one): 41 meV/atom
- VASP energy: -3.277 eV per atom
- Formation energy: 0.42 eV per formula unit
- V: 14.27 A^3/atom

***

Record 9
DFT (PBE) results for a relaxed Cu3Ag2 crystal.

Cell lengths 9.879, 9.879, 3.812 Å; angles 90.00, 90.00, 157.38 degrees
Sites, in units of the cell vectors:
Cu: 0.051 0.949 0.750
Cu: 0.250 0.750 0.750
Cu: 0.343 0.657 0.250
Cu: 0.657 0.343 0.750
Cu: 0.750 0.250 0.250
Cu: 0.949 0.051 0.250
Ag: 0.155 0.845 0.250
Ag: 0.448 0.552 0.750
Ag: 0.552 0.448 0.250
Ag: 0.845 0.155 0.750

Computed properties:
- Polymorph energy (0 for the lowest one): 54 meV/atom
- VASP energy: -3.264 eV per atom
- Formation energy: 0.48 eV per formula unit
- V: 14.31 A^3/atom

***

Record 10
DFT (PBE) results for a relaxed Cu4Ag5 crystal.

Cell lengths 6.035, 6.035, 8.575 Å; angles 103.85, 103.85, 26.96 degrees
Sites, in units of the cell vectors:
Cu: 0.000 0.000 0.000
Cu: 0.004 0.004 0.348
Cu: 0.333 0.333 0.442
Cu: 0.673 0.673 0.543
Ag: 0.005 0.005 0.650
Ag: 0.335 0.335 0.773
Ag: 0.348 0.348 0.126
Ag: 0.661 0.661 0.229
Ag: 0.664 0.664 0.896

Computed properties:
- Polymorph energy (0 for the lowest one): 53 meV/atom
- VASP energy: -3.130 eV per atom
- Formation energy: 0.82 eV per formula unit
- V: 15.25 A^3/atom

***

Record 11
DFT (PBE) results for a relaxed Cu3Ag2 crystal.

Cell lengths 21.602, 21.602, 21.602 Å; angles 7.40, 7.40, 7.40 degrees
Sites, in units of the cell vectors:
Cu: 0.000 0.000 0.000
Cu: 0.098 0.098 0.098
Cu: 0.205 0.205 0.205
Cu: 0.402 0.402 0.402
Cu: 0.598 0.598 0.598
Cu: 0.901 0.901 0.901
Ag: 0.299 0.299 0.299
Ag: 0.504 0.504 0.504
Ag: 0.701 0.701 0.701
Ag: 0.798 0.798 0.798

Computed properties:
- Polymorph energy (0 for the lowest one): 66 meV/atom
- VASP energy: -3.252 eV per atom
- Formation energy: 0.54 eV per formula unit
- V: 14.48 A^3/atom

***

Record 12
DFT (PBE) results for a relaxed Cu2Ag7 crystal.

Cell lengths 17.885, 17.885, 17.885 Å; angles 170.70, 170.70, 13.17 degrees
Sites, in units of the cell vectors:
Cu: 0.051 0.051 0.000
Cu: 0.949 0.949 0.000
Ag: 0.162 0.162 0.000
Ag: 0.279 0.279 0.000
Ag: 0.398 0.398 0.000
Ag: 0.500 0.500 0.000
Ag: 0.602 0.602 0.000
Ag: 0.721 0.721 0.000
Ag: 0.838 0.838 0.000

Computed properties:
- Polymorph energy (0 for the lowest one): 18 meV/atom
- VASP energy: -2.979 eV per atom
- Formation energy: 0.40 eV per formula unit
- V: 16.61 A^3/atom

***

- What is the formation energy in the eighth record?
  0.42 eV per formula unit

***

- Which value of formation energy does entry 12 give?
  0.40 eV per formula unit

***

- Which value of V does entry 3 give?
  16.22 A^3/atom